A crystal of BaCaHgP2 relaxed with PBEsol. Source: the Alexandria database, functional meta-GGA SCAN.

```
BaCaHgP2
1.0
5.1801 0.0000 0.0000
0.0000 5.3069 0.0000
0.0000 0.0000 5.3069
P Ca Hg Ba
2 1 1 1
direct
0.0000 0.0000 0.5000 P
0.0000 0.5000 0.0000 P
0.5000 0.0000 0.0000 Ca
0.0000 0.0000 0.0000 Hg
0.5000 0.5000 0.5000 Ba
```

As for the magnetization: 0.00 μB per formula unit. The total energy comes out at -27.601 eV per atom. The energy of formation from the pure elements comes out at 0.0342 eV/atom.